Entry 1:
Computed, not measured: a relaxed Ag2HgHPt crystal at the GGA-PBEsol level of DFT.

CIF file:
```
data_Ag2HgHPt
_cell_length_a 5.149
_cell_length_b 5.149
_cell_length_c 3.225
_cell_angle_alpha 90.00
_cell_angle_beta 90.00
_cell_angle_gamma 90.00
_space_group_name_H-M_alt 'P 4/m m m'
_space_group_IT_number 123
_space_group_name_Hall '-P 4 2'
loop_
_atom_site_label
_atom_site_type_symbol
_atom_site_fract_x
_atom_site_fract_y
_atom_site_fract_z
Ag1 Ag 0.000 0.500 0.000
Hg1 Hg 0.000 0.000 0.000
H1 H 0.000 0.000 0.500
Pt1 Pt 0.500 0.500 0.500
```

Entry 2:
# LiMgAu2 (GGA-PBEsol, optimized geometry)
# Energy of formation, eV per atom: -0.489
data_LiMgAu2
_cell_length_a 9.522
_cell_length_b 3.025
_cell_length_c 4.665
_cell_angle_alpha 90.00
_cell_angle_beta 101.96
_cell_angle_gamma 90.00
_space_group_name_H-M_alt 'C 1 m 1'
_space_group_IT_number 8
_space_group_name_Hall 'C -2y'
loop_
_atom_site_label
_atom_site_type_symbol
_atom_site_fract_x
_atom_site_fract_y
_atom_site_fract_z
Li1 Li 0.000 0.000 0.000
Mg1 Mg 0.227 0.000 0.670
Au1 Au 0.240 0.500 0.169
Au2 Au 0.485 0.000 0.485

Entry 3:
# DyCrSb3 (GGA-PBEsol, optimized geometry)
# Formation energy (no corrections), meV/atom: -451
data_DyCrSb3
_cell_length_a 12.502
_cell_length_b 6.143
_cell_length_c 5.900
_cell_angle_alpha 90.00
_cell_angle_beta 90.00
_cell_angle_gamma 90.00
_space_group_name_H-M_alt 'P b c m'
_space_group_IT_number 57
_space_group_name_Hall '-P 2c 2b'
loop_
_atom_site_label
_atom_site_type_symbol
_atom_site_fract_x
_atom_site_fract_y
_atom_site_fract_z
Dy1 Dy 0.191 0.004 0.250
Cr1 Cr 0.402 0.750 0.000
Sb1 Sb 0.002 0.750 0.000
Sb2 Sb 0.274 0.004 0.750
Sb3 Sb 0.437 0.101 0.250

How do the records compare in DFT total energy? In the order shown, they have -2.769; -3.372; -6.229 eV per atom.